Record 1
The following is a PBE-GGA calculation of a relaxed La3AlGe6Pt2 crystal, from the Alexandria database. Values from VASP.

Quantum ESPRESSO input file:
```
&SYSTEM
  ibrav = 0, nat = 12, ntyp = 4
/
ATOMIC_SPECIES
La 138.91 La.upf
Al 26.98 Al.upf
Ge 72.64 Ge.upf
Pt 195.08 Pt.upf
ATOMIC_POSITIONS angstrom
La 0.0000 0.0000 0.0000
La 0.0000 3.5172 5.3632
La 3.0460 1.7586 2.9702
Al 0.0000 0.0000 4.1667
Ge 0.0000 2.0158 2.3835
Ge -1.3002 4.2679 2.3835
Ge 1.7458 1.0079 5.9500
Ge 1.3002 4.2679 2.3835
Ge 4.3462 1.0079 5.9500
Ge 3.0460 3.2599 5.9500
Pt 0.0000 3.5172 0.2376
Pt 3.0460 1.7586 8.0958
CELL_PARAMETERS angstrom
6.0919 0.0000 0.0000
-3.0460 5.2758 0.0000
0.0000 0.0000 8.3335
```

Output
The total energy comes out at -5.306 eV/atom. The density of states at the Fermi level is 5.26 states/eV per cell. The formation enthalpy at 0 K is -0.4467 eV per atom.

---

Record 2
The following is a PBE-GGA calculation of a relaxed ScIrRu2 crystal, from the Alexandria database. Values from VASP.

Quantum ESPRESSO input file:
```
&SYSTEM
  ibrav = 0, nat = 4, ntyp = 3
/
ATOMIC_SPECIES
Sc 44.96 Sc.upf
Ir 192.22 Ir.upf
Ru 101.07 Ru.upf
ATOMIC_POSITIONS angstrom
Sc 0.0000 0.0000 0.0000
Ir 1.4182 1.4182 2.0272
Ru 0.0000 0.0000 3.8783
Ru 1.4182 1.4182 5.5815
CELL_PARAMETERS angstrom
2.8365 0.0000 0.0000
0.0000 2.8365 0.0000
0.0000 0.0000 7.6919
```

Output
The total energy comes out at -8.637 eV/atom. The density of states at the Fermi level is 3.47 states/eV per cell. The formation enthalpy at 0 K is -0.2007 eV per atom.

---

Record 3
The following is a PBE-GGA calculation of a relaxed TbSmGe2 crystal, from the Alexandria database. Values from VASP.

Quantum ESPRESSO input file:
```
&SYSTEM
  ibrav = 0, nat = 4, ntyp = 3
/
ATOMIC_SPECIES
Tb 158.93 Tb.upf
Sm 150.36 Sm.upf
Ge 72.64 Ge.upf
ATOMIC_POSITIONS angstrom
Tb 0.0000 0.0000 0.0000
Sm 0.0000 0.0000 10.1340
Ge 0.0000 0.0000 5.1030
Ge 0.0000 0.0000 15.1650
CELL_PARAMETERS angstrom
2.1174 1.2225 6.7560
-2.1174 1.2225 6.7560
0.0000 -2.4450 6.7560
```

Output
The total energy comes out at -5.311 eV/atom. The density of states at the Fermi level is 3.78 states/eV per cell. The formation enthalpy at 0 K is -0.6646 eV per atom.

---

Record 4
The following is a PBE-GGA calculation of a relaxed TbScHg3 crystal, from the Alexandria database. Values from VASP.

Quantum ESPRESSO input file:
```
&SYSTEM
  ibrav = 0, nat = 10, ntyp = 3
/
ATOMIC_SPECIES
Tb 158.93 Tb.upf
Sc 44.96 Sc.upf
Hg 200.59 Hg.upf
ATOMIC_POSITIONS angstrom
Tb 0.8291 0.0000 2.0207
Tb 13.0259 0.0000 3.8765
Sc 4.4031 0.0000 1.1845
Sc 9.4519 0.0000 4.7127
Hg 0.1997 0.0000 5.1188
Hg 3.2726 0.0000 4.0504
Hg 7.3207 0.0000 1.4314
Hg 6.5343 0.0000 4.4658
Hg 10.5824 0.0000 1.8468
Hg 13.6553 0.0000 0.7784
CELL_PARAMETERS angstrom
7.9071 -2.6101 0.0000
7.9071 2.6101 0.0000
-1.9592 0.0000 5.8972
```

Output
The total energy comes out at -2.724 eV/atom. The density of states at the Fermi level is 5.92 states/eV per cell. The formation enthalpy at 0 K is -0.3510 eV per atom.

---

Q: Number 2 is which compound?
A: ScIrRu2

---

Q: formation enthalpy at 0 K of number 4 (TbScHg3)?
A: -0.3510 eV per atom

---

Q: Among the records above, which one has the lowest formation enthalpy at 0 K?
A: TbSmGe2

---

Q: Which formula does entry 3 have?
A: TbSmGe2